[1]
Ac2PrAl3Au12 | GGA-PBE | relaxed

Lattice parameters (Å, degrees): 8.2719 8.2719 8.2719 66.62 66.62 66.62
Closest atoms and distances in Å follow each position.
Positions (direct):
Ac1 0.5994 0.5994 0.5994  6 Au 3.07-3.26
Ac2 0.4006 0.4006 0.4006  6 Au 3.07-3.26
Pr1 0.0000 0.0000 0.0000  6 Au 2.96
Al1 0.5000 0.0000 0.0000  6 Au 2.54-2.55
Al2 0.0000 0.5000 0.0000  6 Au 2.54-2.55
Al3 0.0000 0.0000 0.5000  6 Au 2.54-2.55
Au1 0.3080 0.3080 0.8444  2 Al 2.55
Au2 0.8517 0.8517 0.4019  1 Al 2.54
Au3 0.4019 0.8517 0.8517  1 Al 2.54
Au4 0.8444 0.3080 0.3080  2 Al 2.55
Au5 0.8517 0.4019 0.8517  1 Al 2.54
Au6 0.3080 0.8444 0.3080  2 Al 2.55
Au7 0.6920 0.6920 0.1556  2 Al 2.55
Au8 0.1483 0.1483 0.5981  1 Al 2.54
Au9 0.5981 0.1483 0.1483  1 Al 2.54
Au10 0.1556 0.6920 0.6920  2 Al 2.55
Au11 0.1483 0.5981 0.1483  1 Al 2.54
Au12 0.6920 0.1556 0.6920  2 Al 2.55

## Properties
calculated total energy: -3.8401 eV per atom
SG: No. 166



[2]
BaY2Br2 | GGA-PBE | relaxed

Lattice parameters (Å, degrees): 4.5138 4.5138 8.4475 74.50 74.50 90.00
Closest atoms and distances in Å follow each position.
Positions (direct):
Y1 0.7500 0.2500 0.5000  4 Br 3.17, 4 Y 3.19
Y2 0.2500 0.7500 0.5000  4 Br 3.17, 4 Y 3.19
Ba1 0.0000 0.0000 0.0000  8 Br 3.61
Br1 0.3921 0.3921 0.2158  4 Y 3.17, 1 Br 3.38
Br2 0.6079 0.6079 0.7842  4 Y 3.17, 1 Br 3.38

## Properties
relative energy among the computed polymorphs: 0.000 eV/atom
calculated total energy: -4.3741 eV per atom
formation energy (no corrections): -0.7348 eV/atom
SG: No. 139



[3]
Cr2Si2Sn | GGA-PBE | relaxed

Lattice parameters (Å, degrees): 6.8385 6.8385 3.1266 90.00 90.00 90.00
Closest atoms and distances in Å follow each position.
Positions (direct):
Cr1 0.3514 0.8514 0.0000  6 Si 2.50-2.60, 2 Sn 2.61
Cr2 0.8514 0.6486 0.0000  6 Si 2.50-2.60, 2 Sn 2.61
Cr3 0.6486 0.1486 0.0000  6 Si 2.50-2.60, 2 Sn 2.61
Cr4 0.1486 0.3514 0.0000  6 Si 2.50-2.60, 2 Sn 2.61
Si1 0.1365 0.6365 0.5000  6 Cr 2.50-2.60, 1 Si 2.64
Si2 0.6365 0.8635 0.5000  6 Cr 2.50-2.60, 1 Si 2.64
Si3 0.8635 0.3635 0.5000  6 Cr 2.50-2.60, 1 Si 2.64
Si4 0.3635 0.1365 0.5000  6 Cr 2.50-2.60, 1 Si 2.64
Sn1 0.0000 0.0000 0.0000  4 Cr 2.61
Sn2 0.5000 0.5000 0.0000  4 Cr 2.61

## Properties
relative energy among the computed polymorphs: 0.163 eV/atom
calculated total energy: -6.6575 eV per atom
formation energy (no corrections): 0.1617 eV/atom
SG: No. 127



[4]
CaNd2MgAu4 | GGA-PBE | relaxed

Lattice parameters (Å, degrees): 5.1194 5.1194 8.8236 73.14 73.14 60.00
Closest atoms and distances in Å follow each position.
Positions (direct):
Ca1 0.0000 0.0000 0.0000  8 Au 3.09-3.15
Nd1 0.7538 0.7538 0.7386  8 Au 3.05-3.27
Nd2 0.2462 0.2462 0.2614  8 Au 3.05-3.27
Mg1 0.5000 0.5000 0.5000  8 Au 3.06-3.14
Au1 0.3772 0.3772 0.8683  1 Mg 3.06, 4 Nd 3.15-3.27, 3 Ca 3.15
Au2 0.8760 0.8760 0.3721  4 Nd 3.05-3.10, 1 Ca 3.09, 3 Mg 3.14
Au3 0.1240 0.1240 0.6279  4 Nd 3.05-3.10, 1 Ca 3.09, 3 Mg 3.14
Au4 0.6228 0.6228 0.1317  1 Mg 3.06, 4 Nd 3.15-3.27, 3 Ca 3.15

## Properties
calculated total energy: -4.0439 eV per atom
SG: No. 166



[5]
ZrCu2As2 | GGA-PBE | relaxed

Lattice parameters (Å, degrees): 7.2557 7.2557 3.1396 90.00 90.00 90.00
Closest atoms and distances in Å follow each position.
Positions (direct):
As1 0.3397 0.8397 0.0000  6 Cu 2.63-2.66, 2 Zr 2.73
As2 0.8397 0.6603 0.0000  6 Cu 2.63-2.66, 2 Zr 2.73
As3 0.6603 0.1603 0.0000  6 Cu 2.63-2.66, 2 Zr 2.73
As4 0.1603 0.3397 0.0000  6 Cu 2.63-2.66, 2 Zr 2.73
Cu1 0.1342 0.6342 0.5000  6 As 2.63-2.66, 1 Cu 2.75
Cu2 0.6342 0.8658 0.5000  6 As 2.63-2.66, 1 Cu 2.75
Cu3 0.8658 0.3658 0.5000  6 As 2.63-2.66, 1 Cu 2.75
Cu4 0.3658 0.1342 0.5000  6 As 2.63-2.66, 1 Cu 2.75
Zr1 0.0000 0.0000 0.0000  4 As 2.73
Zr2 0.5000 0.5000 0.0000  4 As 2.73

## Properties
calculated total energy: -5.3891 eV per atom
SG: No. 127



[6]
La2InH | GGA-PBE | relaxed

Lattice parameters (Å, degrees): 5.3502 5.3502 5.3502 60.00 60.00 60.00
Closest atoms and distances in Å follow each position.
Positions (direct):
H1 0.0000 0.0000 0.0000  8 La 3.28
In1 0.5000 0.5000 0.5000  8 La 3.28
La1 0.2500 0.2500 0.2500  4 H 3.28, 4 In 3.28
La2 0.7500 0.7500 0.7500  4 In 3.28, 4 H 3.28

## Properties
relative energy among the computed polymorphs: 0.324 eV/atom
calculated total energy: -4.1022 eV per atom
SG: No. 225